A relaxed Co4O11 crystal, computed with GGA+U.

Cell: 9.2582 4.7363 4.6186 Å, 103.10 101.56 119.23°
With the nearest neighbours (Å) after each atom.
Atoms (fractional coordinates):
O  0.2806  0.9790  0.1713  1 Co 1.68
O  0.3817  0.8027  0.7450  2 Co 1.80-1.82
O  0.7915  0.9330  0.2236  3 Co 1.86-1.92
Co  0.9816  0.9335  0.4834  5 O 1.75-1.92
Co  0.4264  0.2052  0.0145  5 O 1.68-1.82
O  0.4539  0.6060  0.2001  2 Co 1.76-1.85
Co  0.9301  0.1800  0.0139  6 O 1.78-1.87
Co  0.5780  0.8469  0.9764  6 O 1.80-1.86
O  0.7207  0.0771  0.7759  2 Co 1.78-1.83
O  0.6200  0.2546  0.2358  2 Co 1.75-1.83
O  0.8807  0.7653  0.7417  2 Co 1.76-1.85
O  0.0625  0.3480  0.7885  2 Co 1.78-1.81
O  0.1090  0.1845  0.2791  2 Co 1.81-1.84
O  0.0047  0.5953  0.3088  2 Co 1.75-1.81
O  0.5002  0.4069  0.7386  2 Co 1.80-1.81

- VASP energy: -5.03 eV/atom
- Space-group type: P1